A plane-wave DFT calculation with PBE was carried out for Sm2GdNi2B2P3 after structural relaxation.

a = 11.1128 Å, b = 11.1128 Å, c = 11.1128 Å
α = 159.26°, β = 159.26°, γ = 29.50°
Fractional coordinates of all 10 atoms:
Sm1 0.6382 0.6382 0.0000
P1 0.8713 0.8713 0.0000
P2 0.5000 0.5000 0.0000
Gd1 0.0000 0.0000 0.0000
B1 0.7807 0.7807 0.0000
Ni1 0.7500 0.2500 0.5000
P3 0.1287 0.1287 0.0000
Ni2 0.2500 0.7500 0.5000
Sm2 0.3618 0.3618 0.0000
B2 0.2193 0.2193 0.0000

Total moment (μB per formula unit): 0.0
Mass density (g/cm3): 6.7
E_tot (eV per atom): -6.38
Space-group type: I4/mmm, No. 139